O: relaxed, PBE.

For the polymorph energy (0 for the lowest one), the calculation gives 1299.4 meV per atom. Its raw formation energy is 1.2994 eV per atom. Its total magnetization is 0.00 Bohr magnetons per cell.

It has space group P4/mmm (No. 123), with a = 3.1472 Å, b = 3.1472 Å, c = 1.5133 Å, α = 90.00°, β = 90.00° and γ = 90.00°. The asymmetric unit holds O at (0.0000, 0.0000, 0.0000).

O: relaxed, PBE.

For the polymorph energy (0 for the lowest one), the calculation gives 442.2 meV per atom. Its raw formation energy is 0.4422 eV per atom. Its total magnetization is 0.00 Bohr magnetons per cell.

It has space group Pmmn (No. 59, origin choice 2), with a = 3.9837 Å, b = 9.3478 Å, c = 5.6088 Å, α = 90.00°, β = 90.00° and γ = 90.00°. The asymmetric unit holds O at (0.2500, 0.1316, 0.0445), O at (0.2500, 0.2500, 0.9270), O at (0.2500, 0.6317, 0.6228) and O at (0.2500, 0.7500, 0.5051).

O: relaxed, PBE.

For the polymorph energy (0 for the lowest one), the calculation gives 1714.4 meV per atom. Its raw formation energy is 1.7144 eV per atom. Its total magnetization is 0.00 Bohr magnetons per cell.

It has space group I4_1/amd (No. 141, origin choice 2), with a = 3.4684 Å, b = 3.4684 Å, c = 2.8961 Å, α = 90.00°, β = 90.00° and γ = 90.00°. The asymmetric unit holds O at (0.0000, 0.2500, 0.3750).

O: relaxed, PBE.

For the polymorph energy (0 for the lowest one), the calculation gives 757.1 meV per atom. Its raw formation energy is 0.7571 eV per atom. Its total magnetization is 0.00 Bohr magnetons per cell.

It has space group C2/c (No. 15), with a = 7.1902 Å, b = 8.5073 Å, c = 3.4122 Å, α = 90.00°, β = 109.42° and γ = 90.00°. The asymmetric unit holds O at (0.0535, 0.1663, 0.1437) and O at (0.2430, 0.0176, 0.3010).

O: relaxed, PBE.

For the polymorph energy (0 for the lowest one), the calculation gives 22.6 meV per atom. Its raw formation energy is 0.0226 eV per atom. Its total magnetization is 4.00 Bohr magnetons per cell.

It has space group C2/m (No. 12), with a = 4.9322 Å, b = 4.9415 Å, c = 3.9042 Å, α = 90.00°, β = 121.88° and γ = 90.00°. The asymmetric unit holds O at (0.1354, 0.0000, 0.1521).

O: relaxed, PBE.

For the polymorph energy (0 for the lowest one), the calculation gives 448.2 meV per atom. Its raw formation energy is 0.4482 eV per atom. Its total magnetization is 0.00 Bohr magnetons per cell.

It has space group Cmcm (No. 63), with a = 9.3386 Å, b = 4.3560 Å, c = 5.2421 Å, α = 90.00°, β = 90.00° and γ = 90.00°. The asymmetric unit holds O at (0.0000, 0.1754, 0.2500) and O at (0.1182, 0.3265, 0.2500).

O: relaxed, PBE.

For the polymorph energy (0 for the lowest one), the calculation gives 2296.8 meV per atom. Its raw formation energy is 2.2968 eV per atom. Its total magnetization is 8.00 Bohr magnetons per cell.

It has space group Fm-3m (No. 225), with a = 3.5506 Å, b = 3.5506 Å, c = 3.5506 Å, α = 90.00°, β = 90.00° and γ = 90.00°. The asymmetric unit holds O at (0.0000, 0.0000, 0.0000).

O: relaxed, PBE.

For the polymorph energy (0 for the lowest one), the calculation gives 437.5 meV per atom. Its raw formation energy is 0.4375 eV per atom. Its total magnetization is 0.00 Bohr magnetons per cell.

It has space group P1 (No. 1), with a = 4.4872 Å, b = 5.2622 Å, c = 8.4954 Å, α = 90.24°, β = 90.20° and γ = 90.06°. The asymmetric unit holds O at (0.0000, 0.0000, 0.0000), O at (0.0015, 0.2394, 0.9685), O at (0.1634, 0.0570, 0.5179), O at (0.2449, 0.5570, 0.2104), O at (0.4073, 0.7410, 0.7591), O at (0.4089, 0.5010, 0.7282), O at (0.4987, 0.4489, 0.2286), O at (0.5009, 0.2093, 0.2594), O at (0.6624, 0.3923, 0.7104), O at (0.7466, 0.8914, 0.0188), O at (0.9070, 0.7084, 0.4690) and O at (0.9095, 0.9484, 0.4999).

O: relaxed, PBE.

For the polymorph energy (0 for the lowest one), the calculation gives 118.0 meV per atom. Its raw formation energy is 0.1180 eV per atom. Its total magnetization is 11.27 Bohr magnetons per cell.

It has space group I4/m (No. 87), with a = 10.4787 Å, b = 10.4787 Å, c = 2.5163 Å, α = 90.00°, β = 90.00° and γ = 90.00°. The asymmetric unit holds O at (0.0482, 0.2963, 0.0000) and O at (0.1091, 0.1959, 0.0000).

OsO: relaxed, PBE.

For the polymorph energy (0 for the lowest one), the calculation gives 255.6 meV per atom. Its raw formation energy is -0.0557 eV per atom. Its total magnetization is 0.00 Bohr magnetons per cell.

It has space group P4/m (No. 83), with a = 9.2949 Å, b = 9.2949 Å, c = 2.6833 Å, α = 90.00°, β = 90.00° and γ = 90.00°. The asymmetric unit holds Os at (0.0777, 0.3870, 0.0000), Os at (0.2635, 0.7214, 0.5000), O at (0.1002, 0.7286, 0.0000) and O at (0.2249, 0.4868, 0.5000).

OsO: relaxed, PBE.

For the polymorph energy (0 for the lowest one), the calculation gives 1517.5 meV per atom. Its raw formation energy is 1.2062 eV per atom. Its total magnetization is 2.27 Bohr magnetons per cell.

It has space group Pm-3n (No. 223), with a = 5.8129 Å, b = 5.8129 Å, c = 5.8129 Å, α = 90.00°, β = 90.00° and γ = 90.00°. The asymmetric unit holds Os at (0.0000, 0.2500, 0.5000) and O at (0.0000, 0.5000, 0.2500).

OsO: relaxed, PBE.

For the polymorph energy (0 for the lowest one), the calculation gives 241.7 meV per atom. Its raw formation energy is -0.0696 eV per atom. Its total magnetization is 0.00 Bohr magnetons per cell.

It has space group P6_3/m (No. 176), with a = 7.7882 Å, b = 7.7882 Å, c = 2.7304 Å, α = 90.00°, β = 90.00° and γ = 120.00°. The asymmetric unit holds Os at (0.1375, 0.6723, 0.2500) and O at (0.0260, 0.2763, 0.2500).